No. 1
A PBEsol-optimized structure of SrHg2Bi. Source: the Alexandria database, functional SCAN.

Its formation energy is -0.423 eV per atom. Its total energy is -59.720 eV/atom.

The space group is I-42d (No. 122) and the conventional cell measures 4.7254, 4.7254 and 22.1800 Å, with angles of 90.00, 90.00 and 90.00 degrees. The distinct sites, in fractional coordinates, are Sr at (0.0000, 0.0000, 0.0000), Hg at (0.2172, 0.2500, 0.6250) and Bi at (0.0000, 0.0000, 0.5000).


No. 2
A PBEsol-optimized structure of Sr2Hg2Bi. Source: the Alexandria database, functional SCAN.

Its formation energy is -0.716 eV per atom. Its total energy is -52.608 eV/atom.

The space group is P4/mbm (No. 127) and the conventional cell measures 8.1874, 8.1874 and 4.5947 Å, with angles of 90.00, 90.00 and 90.00 degrees. The distinct sites, in fractional coordinates, are Sr at (0.1793, 0.3207, 0.0000), Hg at (0.1232, 0.6232, 0.5000) and Bi at (0.0000, 0.0000, 0.5000).


No. 3
A PBEsol-optimized structure of Sr2HgBi. Source: the Alexandria database, functional SCAN.

Its formation energy is -0.832 eV per atom. Its total energy is -48.656 eV/atom.

The space group is Fm-3m (No. 225) and the conventional cell measures 8.0332, 8.0332 and 8.0332 Å, with angles of 90.00, 90.00 and 90.00 degrees. The distinct sites, in fractional coordinates, are Sr at (0.2500, 0.2500, 0.2500), Hg at (0.0000, 0.0000, 0.0000) and Bi at (0.0000, 0.0000, 0.5000).


No. 4
A PBEsol-optimized structure of TaHgBi2. Source: the Alexandria database, functional SCAN.

Its formation energy is 0.788 eV per atom. Its total energy is -72.189 eV/atom.

The space group is I-42d (No. 122) and the conventional cell measures 6.6990, 6.6990 and 12.5635 Å, with angles of 90.00, 90.00 and 90.00 degrees. The distinct sites, in fractional coordinates, are Ta at (0.0000, 0.0000, 0.0000), Hg at (0.0000, 0.0000, 0.5000) and Bi at (0.2212, 0.2500, 0.1250).


No. 5
A PBEsol-optimized structure of HgBiTe3. Source: the Alexandria database, functional SCAN.

As for the energy relative to the elements, uncorrected: 0.57 eV per atom. Its total energy is -51.127 eV/atom.

The space group is Pm-3m (No. 221) and the conventional cell measures 5.4731, 5.4731 and 5.4731 Å, with angles of 90.00, 90.00 and 90.00 degrees. The distinct sites, in fractional coordinates, are Hg at (0.0000, 0.0000, 0.0000), Bi at (0.5000, 0.5000, 0.5000) and Te at (0.0000, 0.0000, 0.5000).


No. 6
A PBEsol-optimized structure of ZnHgBi2Te. Source: the Alexandria database, functional SCAN.

As for the energy relative to the elements, uncorrected: 0.86 eV per atom. Its total energy is -54.363 eV/atom.

The space group is P4/mmm (No. 123) and the conventional cell measures 5.6544, 5.6544 and 5.5462 Å, with angles of 90.00, 90.00 and 90.00 degrees. The distinct sites, in fractional coordinates, are Zn at (0.0000, 0.0000, 0.0000), Hg at (0.5000, 0.5000, 0.5000), Bi at (0.0000, 0.5000, 0.5000) and Te at (0.5000, 0.5000, 0.0000).